SiBi3Ir after structural relaxation, computed with PBE.

Unit cell a=5.351 b=5.351 c=5.351 alpha=90.00 beta=90.00 gamma=90.00
Fractional coordinates of all 5 atoms:
Ir 0.000 0.000 0.000
Bi 0.000 0.000 0.500
Bi 0.500 0.000 0.000
Bi 0.000 0.500 0.000
Si 0.500 0.500 0.500

- formation energy without anion corrections (meV/atom) = 820
- space-group type = Pm-3m
- calculated total energy (eV per cell) = -21.8